# 1
Computed, not measured: a relaxed structure of La2In2Te at the GGA-PBE level of DFT.

Computed properties:
Its energy above the most stable polymorph in this dataset is 0.000 eV per atom. The formation energy from raw total energies is -0.654 eV/atom. The space-group type is P4/mbm.

Cell lengths 8.387, 8.387, 4.892 Å; angles 90.00, 90.00, 90.00 degrees
Fractional positions:
La (0.166, 0.334, 0.000)
La (0.334, 0.834, 0.000)
La (0.666, 0.166, 0.000)
La (0.834, 0.666, 0.000)
In (0.132, 0.632, 0.500)
In (0.368, 0.132, 0.500)
In (0.632, 0.868, 0.500)
In (0.868, 0.368, 0.500)
Te (0.000, 0.000, 0.000)
Te (0.500, 0.500, 0.000)

---

# 2
Computed, not measured: a relaxed structure of LaInTe2 at the GGA-PBE level of DFT.

Computed properties:
The formation energy from raw total energies is -0.907 eV/atom. The space-group type is I-4m2.

Cell lengths 6.497, 6.497, 6.497 Å; angles 138.21, 138.21, 60.58 degrees
Fractional positions:
La (0.000, 0.000, 0.000)
In (0.750, 0.250, 0.500)
Te (0.250, 0.750, 0.500)
Te (0.500, 0.500, 0.000)

---

# 3
Computed, not measured: a relaxed structure of LaInTe2 at the GGA-PBE level of DFT.

Computed properties:
The formation energy from raw total energies is -0.810 eV/atom. The space-group type is I-42d.

Cell lengths 7.407, 7.407, 7.407 Å; angles 109.79, 109.79, 108.83 degrees
Fractional positions:
La (0.000, 0.000, 0.000)
La (0.750, 0.250, 0.500)
In (0.250, 0.750, 0.500)
In (0.500, 0.500, 0.000)
Te (0.110, 0.625, 0.985)
Te (0.375, 0.360, 0.485)
Te (0.640, 0.125, 0.015)
Te (0.875, 0.890, 0.515)

---

# 4
Computed, not measured: a relaxed structure of LaIn2Te at the GGA-PBE level of DFT.

Computed properties:
Its energy above the most stable polymorph in this dataset is 0.412 eV per atom. The formation energy from raw total energies is -0.243 eV/atom. The space-group type is Fm-3m.

Cell lengths 5.546, 5.546, 5.546 Å; angles 60.00, 60.00, 60.00 degrees
Fractional positions:
La (0.000, 0.000, 0.000)
In (0.250, 0.250, 0.250)
In (0.750, 0.750, 0.750)
Te (0.500, 0.500, 0.500)

---

# 5
Computed, not measured: a relaxed structure of LaIn2Te at the GGA-PBE level of DFT.

Computed properties:
Its energy above the most stable polymorph in this dataset is 0.155 eV per atom. The formation energy from raw total energies is -0.500 eV/atom. The space-group type is F-43m.

Cell lengths 5.500, 5.500, 5.500 Å; angles 60.00, 60.00, 60.00 degrees
Fractional positions:
La (0.000, 0.000, 0.000)
In (0.250, 0.250, 0.250)
In (0.500, 0.500, 0.500)
Te (0.750, 0.750, 0.750)

---

# 6
Computed, not measured: a relaxed structure of LaIn2Te2 at the GGA-PBE level of DFT.

Computed properties:
Its energy above the most stable polymorph in this dataset is 0.000 eV per atom. The formation energy from raw total energies is -0.694 eV/atom. The space-group type is I4/mmm.

Cell lengths 9.773, 9.773, 9.773 Å; angles 155.33, 155.33, 35.17 degrees
Fractional positions:
La (0.000, 0.000, 0.000)
In (0.250, 0.750, 0.500)
In (0.750, 0.250, 0.500)
Te (0.407, 0.407, 0.000)
Te (0.593, 0.593, 0.000)

---

Let's list final energy in order: -0.1598 -0.1615 -0.1579 -0.1334 -0.1428 -0.1482 Ha/atom.